No. 1
A geometry-optimized TaBrCl2 structure. Source: the Alexandria database, functional PBE.

Lattice parameters (Å, degrees): 8.8238 8.8238 5.3758 90.00 90.00 90.00
Space group I-42d (No. 122)
Unique sites:
Ta1 0.0000 0.0000 0.0000 [4 per cell]
Br1 0.0000 0.0000 0.5000 [4 per cell]
Cl1 0.1092 0.2500 0.1250 [8 per cell]

## Properties
- Energy above the most stable polymorph in this dataset: 0.453 eV per atom
- E_form (uncorrected): -0.541 eV/atom

No. 2
A geometry-optimized Sr2YAu structure. Source: the Alexandria database, functional PBE.

Lattice parameters (Å, degrees): 4.8035 4.8035 11.1820 90.00 90.00 90.00
Space group I4/mmm (No. 139)
Unique sites:
Sr1 0.0000 0.5000 0.2500 [4 per cell]
Y1 0.0000 0.0000 0.0000 [2 per cell]
Au1 0.0000 0.0000 0.5000 [2 per cell]

## Properties
- Formation enthalpy at 0 K: -0.014 eV/atom
- Energy above the most stable polymorph in this dataset: 0.346 eV per atom

No. 3
A geometry-optimized Tc2MoOs structure. Source: the Alexandria database, functional PBE.

Lattice parameters (Å, degrees): 3.9045 3.9045 7.8043 90.00 90.00 90.00
Space group I-4m2 (No. 119)
Unique sites:
Tc1 0.0000 0.0000 0.0000 [2 per cell]
Tc2 0.0000 0.5000 0.2500 [2 per cell]
Mo1 0.0000 0.5000 0.7500 [2 per cell]
Os1 0.0000 0.0000 0.5000 [2 per cell]

## Properties
- Formation enthalpy at 0 K: 0.081 eV/atom
- Energy above the most stable polymorph in this dataset: 0.016 eV per atom

No. 4
A geometry-optimized YAg4Ir structure. Source: the Alexandria database, functional PBE.

Lattice parameters (Å, degrees): 7.6913 7.6913 7.6913 90.00 90.00 90.00
Space group F-43m (No. 216)
Unique sites:
Y1 0.0000 0.0000 0.0000 [4 per cell]
Ag1 0.1245 0.1245 0.6245 [16 per cell]
Ir1 0.2500 0.2500 0.2500 [4 per cell]

## Properties
- Formation enthalpy at 0 K: 0.033 eV/atom

No. 5
A geometry-optimized BaTa5 structure. Source: the Alexandria database, functional PBE.

Lattice parameters (Å, degrees): 4.8602 10.5024 4.8147 90.00 90.00 90.00
Space group Cmmm (No. 65)
Unique sites:
Ba1 0.0000 0.0000 0.0000 [2 per cell]
Ta1 0.0000 0.1855 0.5000 [4 per cell]
Ta2 0.0000 0.3278 0.0000 [4 per cell]
Ta3 0.0000 0.5000 0.5000 [2 per cell]

## Properties
- Formation enthalpy at 0 K: 0.767 eV/atom
- Energy above the most stable polymorph in this dataset: 0.132 eV per atom

No. 6
A geometry-optimized Ba2Ga4Ag5 structure. Source: the Alexandria database, functional PBE.

Lattice parameters (Å, degrees): 13.4720 6.0047 8.6219 90.00 128.74 90.00
Space group C2/m (No. 12)
Unique sites:
Ba1 0.2206 0.0000 0.1580 [4 per cell]
Ga1 0.1186 0.0000 0.6794 [4 per cell]
Ga2 0.2281 0.5000 0.3934 [4 per cell]
Ag1 0.0000 0.5000 0.0000 [2 per cell]
Ag2 0.0426 0.2559 0.3317 [8 per cell]

## Properties
- Formation enthalpy at 0 K: -0.195 eV/atom
- Energy above the most stable polymorph in this dataset: 0.046 eV per atom

No. 7
A geometry-optimized Ta10SeS3 structure. Source: the Alexandria database, functional PBE.

Lattice parameters (Å, degrees): 3.3335 3.3335 22.7213 90.00 90.00 90.00
Space group P4mm (No. 99)
Unique sites:
Ta1 0.0000 0.0000 0.0000 [1 per cell]
Ta2 0.0000 0.0000 0.1425 [1 per cell]
Ta3 0.0000 0.0000 0.4053 [1 per cell]
Ta4 0.0000 0.0000 0.5536 [1 per cell]
Ta5 0.0000 0.0000 0.6977 [1 per cell]
Ta6 0.5000 0.5000 0.0710 [1 per cell]
Ta7 0.5000 0.5000 0.2194 [1 per cell]
Ta8 0.5000 0.5000 0.4822 [1 per cell]
Ta9 0.5000 0.5000 0.6248 [1 per cell]
Ta10 0.5000 0.5000 0.9251 [1 per cell]
Se1 0.5000 0.5000 0.7538 [1 per cell]
S1 0.0000 0.0000 0.2624 [1 per cell]
S2 0.0000 0.0000 0.8801 [1 per cell]
S3 0.5000 0.5000 0.3622 [1 per cell]

## Properties
- E_form (uncorrected): -0.467 eV/atom

No. 8
A geometry-optimized La2CuPtN structure. Source: the Alexandria database, functional PBE.

Lattice parameters (Å, degrees): 5.1395 5.1395 3.8301 90.00 90.00 90.00
Space group P4/mmm (No. 123)
Unique sites:
La1 0.0000 0.5000 0.0000 [2 per cell]
Cu1 0.0000 0.0000 0.5000 [1 per cell]
Pt1 0.5000 0.5000 0.5000 [1 per cell]
N1 0.0000 0.0000 0.0000 [1 per cell]

## Properties
- E_form (uncorrected): -0.855 eV/atom

No. 9
A geometry-optimized Ta2ZnP structure. Source: the Alexandria database, functional PBE.

Lattice parameters (Å, degrees): 3.1820 3.1820 24.1095 90.00 90.00 120.00
Space group R3m (No. 160, hexagonal axes)
Unique sites:
Ta1 0.0000 0.0000 0.0000 [3 per cell]
Ta2 0.0000 0.0000 0.2439 [3 per cell]
Zn1 0.0000 0.0000 0.7582 [3 per cell]
P1 0.0000 0.0000 0.5055 [3 per cell]

## Properties
- Formation enthalpy at 0 K: 0.094 eV/atom

No. 10
A geometry-optimized RbSb2Pt structure. Source: the Alexandria database, functional PBE.

Lattice parameters (Å, degrees): 7.3953 7.3953 7.3953 90.00 90.00 90.00
Space group Fm-3m (No. 225)
Unique sites:
Rb1 0.0000 0.0000 0.0000 [4 per cell]
Sb1 0.2500 0.2500 0.2500 [8 per cell]
Pt1 0.0000 0.0000 0.5000 [4 per cell]

## Properties
- Energy above the most stable polymorph in this dataset: 0.705 eV per atom
- E_form (uncorrected): 0.233 eV/atom

No. 11
A geometry-optimized FeTcH structure. Source: the Alexandria database, functional PBE.

Lattice parameters (Å, degrees): 8.8733 2.7093 4.7136 90.00 100.26 90.00
Space group C2/m (No. 12)
Unique sites:
Fe1 0.2480 0.0000 0.2669 [4 per cell]
Tc1 0.0000 0.0000 0.5000 [2 per cell]
Tc2 0.0000 0.5000 0.0000 [2 per cell]
H1 0.1424 0.0000 0.8810 [4 per cell]

## Properties
- Energy above the most stable polymorph in this dataset: 0.000 eV per atom

No. 12
A geometry-optimized BaTl3Pd structure. Source: the Alexandria database, functional PBE.

Lattice parameters (Å, degrees): 5.4267 5.4267 5.4267 90.00 90.00 90.00
Space group Pm-3m (No. 221)
Unique sites:
Ba1 0.0000 0.0000 0.0000 [1 per cell]
Tl1 0.0000 0.5000 0.5000 [3 per cell]
Pd1 0.5000 0.5000 0.5000 [1 per cell]

## Properties
- Formation enthalpy at 0 K: -0.212 eV/atom

No. 13
A geometry-optimized Cs3ScSe3 structure. Source: the Alexandria database, functional PBE.

Lattice parameters (Å, degrees): 8.8461 14.5471 11.4779 90.00 127.08 90.00
Space group P2_1/c (No. 14)
Unique sites:
Cs1 0.1092 0.1339 0.4802 [4 per cell]
Cs2 0.1418 0.0826 0.8838 [4 per cell]
Cs3 0.3647 0.6841 0.5653 [4 per cell]
Sc1 0.4387 0.0585 0.3415 [4 per cell]
Se1 0.1520 0.1648 0.1904 [4 per cell]
Se2 0.3611 0.6068 0.8823 [4 per cell]
Se3 0.3779 0.5475 0.2631 [4 per cell]

## Properties
- Energy above the most stable polymorph in this dataset: 0.010 eV per atom
- E_form (uncorrected): -1.416 eV/atom

No. 14
A geometry-optimized TbEu structure. Source: the Alexandria database, functional PBE.

Lattice parameters (Å, degrees): 3.7088 3.7088 10.5118 90.00 90.00 90.00
Space group P4/nmm (No. 129, origin choice 2)
Unique sites:
Tb1 0.2500 0.2500 0.1094 [2 per cell]
Eu1 0.2500 0.2500 0.6370 [2 per cell]

## Properties
- Formation enthalpy at 0 K: 0.040 eV/atom

No. 15
A geometry-optimized BTe2S structure. Source: the Alexandria database, functional PBE.

Lattice parameters (Å, degrees): 3.6276 3.6276 23.8492 90.00 90.00 120.00
Space group R-3m (No. 166, hexagonal axes)
Unique sites:
B1 0.0000 0.0000 0.0000 [3 per cell]
Te1 0.0000 0.0000 0.3939 [6 per cell]
S1 0.0000 0.0000 0.5000 [3 per cell]

## Properties
- Energy above the most stable polymorph in this dataset: 0.170 eV per atom
- E_form (uncorrected): 0.773 eV/atom

No. 16
A geometry-optimized Pm4Cd3Pd5 structure. Source: the Alexandria database, functional PBE.

Lattice parameters (Å, degrees): 13.1000 4.9106 11.0649 90.00 124.88 90.00
Space group C2/m (No. 12)
Unique sites:
Pm1 0.0306 0.0000 0.2733 [4 per cell]
Pm2 0.2195 0.0000 0.6896 [4 per cell]
Cd1 0.0000 0.5000 0.0000 [2 per cell]
Cd2 0.2453 0.0000 0.0699 [4 per cell]
Pd1 0.0000 0.0000 0.0000 [2 per cell]
Pd2 0.0627 0.5000 0.6444 [4 per cell]
Pd3 0.1913 0.5000 0.4982 [4 per cell]

## Properties
- Formation enthalpy at 0 K: -0.484 eV/atom

No. 17
A geometry-optimized CeNd3Th2N6 structure. Source: the Alexandria database, functional PBE.

Lattice parameters (Å, degrees): 6.3187 10.9382 6.3052 90.00 109.50 90.00
Space group C2/m (No. 12)
Unique sites:
Ce1 0.0000 0.0000 0.0000 [2 per cell]
Nd1 0.0000 0.1651 0.5000 [4 per cell]
Nd2 0.0000 0.5000 0.5000 [2 per cell]
Th1 0.0000 0.3332 0.0000 [4 per cell]
N1 0.2443 0.1661 0.2347 [8 per cell]
N2 0.2460 0.5000 0.2348 [4 per cell]

## Properties
- E_form (uncorrected): -1.502 eV/atom

No. 18
A geometry-optimized U2Mn12P7 structure. Source: the Alexandria database, functional PBE.

Lattice parameters (Å, degrees): 9.2375 9.2375 3.5823 90.00 90.00 120.00
Space group P-6 (No. 174)
Unique sites:
U1 0.0000 0.0000 0.0000 [1 per cell]
U2 0.3333 0.6667 0.5000 [1 per cell]
Mn1 0.0529 0.7737 0.5000 [3 per cell]
Mn2 0.0988 0.3927 0.0000 [3 per cell]
Mn3 0.3901 0.2100 0.0000 [3 per cell]
Mn4 0.5446 0.1035 0.5000 [3 per cell]
P1 0.0736 0.6274 0.0000 [3 per cell]
P2 0.2622 0.0475 0.5000 [3 per cell]
P3 0.6667 0.3333 0.0000 [1 per cell]

## Properties
- Formation enthalpy at 0 K: -0.649 eV/atom

No. 19
A geometry-optimized Na2Sn2Br structure. Source: the Alexandria database, functional PBE.

Lattice parameters (Å, degrees): 5.2947 5.2947 12.4654 90.00 90.00 90.00
Space group I4/mmm (No. 139)
Unique sites:
Na1 0.0000 0.5000 0.2500 [4 per cell]
Sn1 0.0000 0.0000 0.1069 [4 per cell]
Br1 0.0000 0.0000 0.5000 [2 per cell]

## Properties
- Energy above the most stable polymorph in this dataset: 0.315 eV per atom
- E_form (uncorrected): 0.039 eV/atom

No. 20
A geometry-optimized Ti4MoP structure. Source: the Alexandria database, functional PBE.

Lattice parameters (Å, degrees): 7.4914 7.4914 8.1986 90.00 90.00 90.00
Space group I4_1md (No. 109)
Unique sites:
Ti1 0.0000 0.3122 0.0000 [8 per cell]
Ti2 0.0000 0.3133 0.5184 [8 per cell]
Mo1 0.0000 0.0000 0.0142 [4 per cell]
P1 0.0000 0.0000 0.5079 [4 per cell]

## Properties
- Formation enthalpy at 0 K: 0.148 eV/atom

No. 21
A geometry-optimized CuGeAs structure. Source: the Alexandria database, functional PBE.

Lattice parameters (Å, degrees): 3.7134 5.9522 6.0661 90.00 127.70 90.00
Space group Pc (No. 7)
Unique sites:
Cu1 0.0000 0.2413 0.0000 [2 per cell]
Ge1 0.5164 0.0871 0.5181 [2 per cell]
As1 0.7951 0.3876 0.2958 [2 per cell]

## Properties
- Formation enthalpy at 0 K: 0.174 eV/atom
- Energy above the most stable polymorph in this dataset: 0.079 eV per atom

No. 22
A geometry-optimized YB2O4 structure. Source: the Alexandria database, functional PBE.

Lattice parameters (Å, degrees): 6.7313 6.7313 4.0558 90.00 90.00 90.00
Space group I4/m (No. 87)
Unique sites:
Y1 0.0000 0.0000 0.0000 [2 per cell]
B1 0.0000 0.5000 0.2500 [4 per cell]
O1 0.0034 0.6615 0.0000 [8 per cell]

## Properties
- Energy above the most stable polymorph in this dataset: 0.000 eV per atom
- E_form (uncorrected): -2.468 eV/atom

No. 23
A geometry-optimized YZnPt structure. Source: the Alexandria database, functional PBE.

Lattice parameters (Å, degrees): 4.4422 4.4422 3.5396 90.00 90.00 120.00
Space group P-6m2 (No. 187)
Unique sites:
Y1 0.0000 0.0000 0.0000 [1 per cell]
Zn1 0.6667 0.3333 0.5000 [1 per cell]
Pt1 0.3333 0.6667 0.5000 [1 per cell]

## Properties
- Formation enthalpy at 0 K: -0.872 eV/atom

No. 24
A geometry-optimized SrBeN2F structure. Source: the Alexandria database, functional PBE.

Lattice parameters (Å, degrees): 3.4435 3.4435 4.8116 90.00 90.00 90.00
Space group P4/mmm (No. 123)
Unique sites:
Sr1 0.0000 0.0000 0.0000 [1 per cell]
Be1 0.5000 0.5000 0.5000 [1 per cell]
N1 0.0000 0.5000 0.5000 [2 per cell]
F1 0.5000 0.5000 0.0000 [1 per cell]

## Properties
- Energy above the most stable polymorph in this dataset: 0.000 eV per atom
- E_form (uncorrected): -0.790 eV/atom

In eV per cell, the final energy values for the records above are, in order, -77.54 -26.32 -84.94 -106.13 -113.17 -64.70 -140.93 -32.59 -90.03 -57.29 -87.58 -15.28 -117.04 -29.65 -41.99 -107.03 -206.11 -184.11 -24.24 -187.74 -25.68 -113.85 -16.40 -27.88.